1.
Density functional theory data (PBE-GGA) for crystalline Sr2YCd3 at its relaxed geometry.

## Properties
formation energy: -1.89 eV/f.u.
calculated total energy: -2.411 eV/atom
space group: Cmmm (65)

Cell: 5.5597 8.7930 7.9469 Å, 90.00 90.00 71.57°
With the nearest neighbours (Å) after each atom.
Atoms (fractional coordinates):
Sr1 0.0000 0.0000 0.0000  8 Cd 3.33-3.39
Sr2 0.0000 0.0000 0.5000  8 Cd 3.50-3.63, 4 Sr 3.92
Sr3 0.3348 0.3305 0.5000  8 Cd 3.48-3.55
Sr4 0.6652 0.6695 0.5000  8 Cd 3.48-3.55
Y1 0.3329 0.3342 0.0000  8 Cd 3.20-3.34
Y2 0.6671 0.6658 0.0000  8 Cd 3.20-3.34
Cd1 0.8268 0.3463 0.7765  3 Y 3.20-3.30, 4 Sr 3.39-3.55, 1 Cd 3.55
Cd2 0.5000 0.0000 0.2316  6 Sr 3.33-3.50, 2 Y 3.34, 1 Cd 3.68
Cd3 0.1732 0.6537 0.2235  3 Y 3.20-3.30, 4 Sr 3.39-3.55, 1 Cd 3.55
Cd4 0.8268 0.3463 0.2235  3 Y 3.20-3.30, 4 Sr 3.39-3.55, 1 Cd 3.55
Cd5 0.1732 0.6537 0.7765  3 Y 3.20-3.30, 4 Sr 3.39-3.55, 1 Cd 3.55
Cd6 0.5000 0.0000 0.7684  6 Sr 3.33-3.50, 2 Y 3.34, 1 Cd 3.68

2.
Density functional theory data (PBE-GGA) for crystalline Li3Pu2CuSe6 at its relaxed geometry.

## Properties
calculated total energy: -6.034 eV/atom
space group: C2/m (12)
ΔE_f (raw): -1083.7 meV per atom

Cell: 6.8673 6.8673 6.8136 Å, 99.58 99.58 120.05°
With the nearest neighbours (Å) after each atom.
Atoms (fractional coordinates):
Li1 0.1664 0.8336 0.5000  6 Se 2.76-2.86
Li2 0.8336 0.1664 0.5000  6 Se 2.76-2.86
Li3 0.5000 0.5000 0.5000  6 Se 2.78-2.86
Pu1 0.3332 0.6668 0.0000  6 Se 2.82
Pu2 0.6668 0.3332 0.0000  6 Se 2.82
Cu1 0.0000 0.0000 0.0000  6 Se 2.73-2.74
Se1 0.9172 0.5931 0.7504  1 Cu 2.74, 3 Li 2.76-2.86, 2 Pu 2.82
Se2 0.7591 0.7591 0.2474  1 Cu 2.73, 3 Li 2.78-2.86, 2 Pu 2.82
Se3 0.0828 0.4069 0.2496  1 Cu 2.74, 3 Li 2.76-2.86, 2 Pu 2.82
Se4 0.5931 0.9172 0.7504  1 Cu 2.74, 3 Li 2.76-2.86, 2 Pu 2.82
Se5 0.2409 0.2409 0.7526  1 Cu 2.73, 3 Li 2.78-2.86, 2 Pu 2.82
Se6 0.4069 0.0828 0.2496  1 Cu 2.74, 3 Li 2.76-2.86, 2 Pu 2.82

3.
Density functional theory data (PBE-GGA) for crystalline Mg2InRh at its relaxed geometry.

## Properties
formation energy: -1.21 eV/f.u.
calculated total energy: -3.622 eV/atom
space group: F-43m (216)

Cell: 4.6673 4.6673 4.6673 Å, 60.00 60.00 60.00°
With the nearest neighbours (Å) after each atom.
Atoms (fractional coordinates):
Mg1 0.0000 0.0000 0.0000  4 Rh 2.86, 4 Mg 2.86
Mg2 0.2500 0.2500 0.2500  4 Mg 2.86, 4 In 2.86
Rh1 0.7500 0.7500 0.7500  4 In 2.86, 4 Mg 2.86
In1 0.5000 0.5000 0.5000  4 Mg 2.86, 4 Rh 2.86